1.
VASP calculation (PBE) on crystalline LaHoNi2 at its relaxed geometry.

a = 4.349 Å, b = 3.774 Å, c = 10.361 Å
α = 90.00°, β = 90.00°, γ = 90.00°
Space group Amm2 (No. 38)
One atom of each set of equivalent atoms:
La 0.000 0.000 0.000 [2 per cell]
Ho 0.500 0.000 0.275 [2 per cell]
Ni 0.000 0.000 0.717 [2 per cell]
Ni 0.500 0.000 0.569 [2 per cell]

Values from the calculation:
For the formation energy, the calculation gives -1.55 eV per formula unit. The value obtained for the total moment is 0.000 μB/f.u. Its energy above the most stable polymorph in this dataset is 0.00 eV/f.u.

2.
VASP calculation (PBE) on crystalline UInCo5P2 at its relaxed geometry.

a = 3.678 Å, b = 3.678 Å, c = 10.239 Å
α = 90.00°, β = 90.00°, γ = 90.00°
Space group P4/mmm (No. 123)
One atom of each set of equivalent atoms:
U 0.000 0.000 0.000 [1 per cell]
In 0.000 0.000 0.500 [1 per cell]
Co 0.000 0.500 0.314 [4 per cell]
Co 0.500 0.500 0.000 [1 per cell]
P 0.500 0.500 0.209 [2 per cell]

Values from the calculation:
For the formation energy, the calculation gives -1.69 eV per formula unit. The value obtained for the total moment is 1.642 μB/f.u.

3.
VASP calculation (PBE) on crystalline In2FeCl at its relaxed geometry.

a = 3.2627 Å, b = 3.2627 Å, c = 30.3623 Å
α = 90.00°, β = 90.00°, γ = 120.00°
Space group R3m (No. 160, hexagonal axes)
One atom of each set of equivalent atoms:
In 0.0000 0.0000 0.0000 [3 per cell]
In 0.0000 0.0000 0.2442 [3 per cell]
Fe 0.0000 0.0000 0.5068 [3 per cell]
Cl 0.0000 0.0000 0.7917 [3 per cell]

Values from the calculation:
The value obtained for the formation energy without anion corrections is -88 meV per atom. The value obtained for the total moment is 3.054 μB/f.u. Its energy above the most stable polymorph in this dataset is 0.00 eV/f.u.

4.
VASP calculation (PBE) on crystalline Dy5Er3Tm2 at its relaxed geometry.

a = 10.530 Å, b = 15.521 Å, c = 9.398 Å
α = 90.00°, β = 123.91°, γ = 90.00°
Space group C2/c (No. 15)
One atom of each set of equivalent atoms:
Dy 0.000 0.022 0.250 [4 per cell]
Dy 0.000 0.276 0.750 [4 per cell]
Dy 0.000 0.472 0.750 [4 per cell]
Dy 0.230 0.376 0.213 [8 per cell]
Er 0.000 0.229 0.250 [4 per cell]
Er 0.139 0.128 0.046 [8 per cell]
Tm 0.158 0.378 0.547 [8 per cell]

Values from the calculation:
For the formation energy, the calculation gives 2.05 eV per formula unit. The value obtained for the total moment is 0.000 μB/f.u. Its energy above the most stable polymorph in this dataset is 0.00 eV/f.u.

5.
VASP calculation (PBE) on crystalline Ti2Pd3Au2 at its relaxed geometry.

a = 8.918 Å, b = 3.991 Å, c = 6.506 Å
α = 90.00°, β = 101.47°, γ = 90.00°
Space group C2/m (No. 12)
One atom of each set of equivalent atoms:
Ti 0.201 0.000 0.172 [4 per cell]
Pd 0.000 0.500 0.000 [2 per cell]
Pd 0.140 0.500 0.425 [4 per cell]
Au 0.088 0.000 0.738 [4 per cell]

Values from the calculation:
For the formation energy, the calculation gives -3.39 eV per formula unit. The value obtained for the total moment is 0.000 μB/f.u.

6.
VASP calculation (PBE) on crystalline Pr2Tl2Ag3 at its relaxed geometry.

a = 3.823 Å, b = 27.605 Å, c = 3.428 Å
α = 90.00°, β = 90.00°, γ = 90.00°
Space group Cmmm (No. 65)
One atom of each set of equivalent atoms:
Pr 0.000 0.124 0.000 [4 per cell]
Tl 0.000 0.294 0.500 [4 per cell]
Ag 0.000 0.000 0.000 [2 per cell]
Ag 0.000 0.448 0.500 [4 per cell]

Values from the calculation:
For the formation energy, the calculation gives -0.93 eV per formula unit. The value obtained for the total moment is 0.000 μB/f.u.